# AlTl2Co

A relaxed structure of AlTl2Co (GGA-PBEsol, the Alexandria database).

distance to the lowest polymorph of the same formula	0.0306	eV/atom
E_form	0.565	eV per atom
electronic total energy	-3.707	eV/atom
M_tot	1.260	μB/cell

Lattice parameters (Å, degrees): 3.930 4.385 4.385 90.00 90.00 90.00
Site moments in Bohr magnetons follow the coordinates.
Fractional positions:
1 Al 0.500 0.500 0.500  0.01
2 Tl 0.000 0.500 0.000  0.00
3 Tl 0.000 0.000 0.500  0.00
4 Co 0.500 0.000 0.000  1.30


# AlTl2Co

A relaxed structure of AlTl2Co (GGA-PBEsol, the Alexandria database).

distance to the lowest polymorph of the same formula	0.0515	eV/atom
E_form	0.586	eV per atom
electronic total energy	-3.686	eV/atom
M_tot	1.088	μB/cell

Lattice parameters (Å, degrees): 3.336 5.536 5.536 113.94 107.29 107.29
Site moments in Bohr magnetons follow the coordinates.
Fractional positions:
1 Al 0.500 0.000 0.000  0.00
2 Co 0.500 0.500 0.500  1.20
3 Tl 0.000 0.000 0.500  -0.01
4 Tl 0.000 0.500 0.000  -0.01


# Al2TlCo

A relaxed structure of Al2TlCo (GGA-PBEsol, the Alexandria database).

distance to the lowest polymorph of the same formula	0.3801	eV/atom
E_form	0.289	eV per atom
electronic total energy	-4.349	eV/atom
M_tot	0.349	μB/cell

Lattice parameters (Å, degrees): 3.107 4.690 4.694 111.25 90.00 90.00
Site moments in Bohr magnetons follow the coordinates.
Fractional positions:
1 Al 0.000 0.000 0.000  0.00
2 Al 0.500 0.500 0.000  0.00
3 Tl 0.000 0.500 0.500  0.00
4 Co 0.500 0.000 0.500  0.39


# AlTl2Co

A relaxed structure of AlTl2Co (GGA-PBEsol, the Alexandria database).

distance to the lowest polymorph of the same formula	0.0000	eV/atom
E_form	0.535	eV per atom
electronic total energy	-3.737	eV/atom
M_tot	1.152	μB/cell

Lattice parameters (Å, degrees): 3.384 4.669 5.206 112.36 90.00 90.00
Site moments in Bohr magnetons follow the coordinates.
Fractional positions:
1 Tl 0.500 0.000 0.500  -0.01
2 Tl 0.000 0.000 0.000  -0.01
3 Al 0.500 0.500 0.000  0.00
4 Co 0.000 0.500 0.500  1.23


# Al2TlCo

A relaxed structure of Al2TlCo (GGA-PBEsol, the Alexandria database).

distance to the lowest polymorph of the same formula	0.0000	eV/atom
E_form	-0.091	eV per atom
electronic total energy	-4.729	eV/atom
M_tot	0.495	μB/cell

Lattice parameters (Å, degrees): 2.888 2.888 8.140 90.00 90.00 90.00
Site moments in Bohr magnetons follow the coordinates.
Fractional positions:
1 Al 0.000 0.000 0.170  0.00
2 Al 0.000 0.000 0.830  0.00
3 Co 0.500 0.500 0.000  0.49
4 Tl 0.500 0.500 0.500  0.00


# AlCo6W

A relaxed structure of AlCo6W (GGA-PBEsol, the Alexandria database).

E_form	-0.163	eV per atom
electronic total energy	-8.203	eV/atom
M_tot	3.408	μB/cell

Lattice parameters (Å, degrees): 6.097 6.097 9.967 90.00 90.00 109.66
Site moments in Bohr magnetons follow the coordinates.
Fractional positions:
1 Co 0.625 0.874 0.625  0.02
2 Co 0.872 0.622 0.125  0.27
3 Co 0.500 0.500 0.500  0.07
4 Co 0.126 0.375 0.625  0.02
5 Co 0.622 0.872 0.125  0.27
6 Co 0.128 0.378 0.125  0.27
7 Co 0.378 0.128 0.125  0.27
8 Co 0.378 0.128 0.875  0.27
9 Co 0.375 0.126 0.375  0.02
10 Co 0.874 0.625 0.625  0.02
11 Co 0.128 0.378 0.875  0.27
12 Co 0.250 0.750 0.750  0.04
13 Co 0.872 0.622 0.875  0.27
14 Co 0.500 0.500 0.000  0.85
15 Co 0.750 0.250 0.250  0.04
16 Co 0.250 0.750 0.250  0.04
17 Co 0.750 0.250 0.750  0.04
18 Co 0.000 0.000 0.000  0.20
19 Co 0.126 0.375 0.375  0.02
20 Co 0.000 0.000 0.500  0.03
21 Co 0.625 0.874 0.375  0.02
22 Co 0.874 0.625 0.375  0.02
23 Co 0.375 0.126 0.625  0.02
24 Co 0.622 0.872 0.875  0.27
25 W 0.000 0.000 0.245  -0.05
26 W 0.000 0.000 0.755  -0.05
27 W 0.247 0.753 0.500  -0.01
28 W 0.753 0.247 0.500  -0.01
29 Al 0.500 0.500 0.249  -0.01
30 Al 0.755 0.245 0.000  -0.01
31 Al 0.500 0.500 0.751  -0.01
32 Al 0.245 0.755 0.000  -0.01